17
Lattice="7.2476 0.0000 0.0000 -2.4159 6.8331 0.0000 -2.4159 -3.4166 5.9177" Properties=species:S:1:pos:R:3 comment="ErCo4Ge12, optimized geometry, DFT PBE" ef_ev_per_atom=-0.10 magnetic_moment_mub_per_atom=0.000 rho_g_cm3=7.22 pbc="T T T"
Er 0.0000 0.0000 0.0000
Ge 3.9734 -1.1336 3.8988
Ge 2.3932 5.0606 0.9677
Ge 2.4385 -0.0482 2.0189
Ge 0.0227 -1.6440 4.9500
Ge -2.3932 1.6923 4.8665
Ge 4.8091 1.7243 1.0512
Ge -0.0227 3.4648 3.8988
Ge -1.5576 4.5501 2.0189
Ge -0.8583 0.6069 2.9866
Ge 0.8583 2.8899 0.9677
Ge 3.2742 2.8096 2.9311
Ge 1.5576 0.5267 4.9500
Co 1.2079 1.7083 2.9588
Co -1.2079 3.4166 0.0000
Co 3.6238 0.0000 0.0000
Co -1.2079 -1.7083 2.9588